No. 1
# MgAlAsOs PBE optimized geometry
# Total moment, μB per atom: 0.0006
# Crystal system: cubic
# E, eV per atom: -5.27
# Space-group type: No. 216
data_MgAlAsOs
_chemical_formula_sum 'Mg1 Al1 As1 Os1'
_space_group_name_H-M_alt 'P 1'
_space_group_IT_number 1
_cell_length_a 4.450
_cell_length_b 4.450
_cell_length_c 4.450
_cell_angle_alpha 60.00
_cell_angle_beta 60.00
_cell_angle_gamma 60.00
loop_
_space_group_symop_operation_xyz
'x,y,z'
loop_
_atom_site_label
_atom_site_type_symbol
_atom_site_fract_x
_atom_site_fract_y
_atom_site_fract_z
Al1 Al 0.500 0.500 0.500
As1 As 0.000 0.000 0.000
Mg1 Mg 0.750 0.750 0.750
Os1 Os 0.250 0.250 0.250

No. 2
# MgAlAsOs PBE optimized geometry
# Total moment, μB per atom: 0.0004
# Crystal system: cubic
# E, eV per atom: -5.10
# Space-group type: No. 216
data_MgAlAsOs
_chemical_formula_sum 'Mg1 Al1 As1 Os1'
_space_group_name_H-M_alt 'P 1'
_space_group_IT_number 1
_cell_length_a 4.503
_cell_length_b 4.503
_cell_length_c 4.503
_cell_angle_alpha 60.00
_cell_angle_beta 60.00
_cell_angle_gamma 60.00
loop_
_space_group_symop_operation_xyz
'x,y,z'
loop_
_atom_site_label
_atom_site_type_symbol
_atom_site_fract_x
_atom_site_fract_y
_atom_site_fract_z
Al1 Al 0.250 0.250 0.250
As1 As 0.000 0.000 0.000
Mg1 Mg 0.750 0.750 0.750
Os1 Os 0.500 0.500 0.500

No. 3
# AlMo2As2 PBE optimized geometry
# Total moment, μB per atom: 0.0032
# Crystal system: tetragonal
# E, eV per atom: -6.79
# Space-group type: No. 139
data_AlMo2As2
_chemical_formula_sum 'Al1 Mo2 As2'
_space_group_name_H-M_alt 'P 1'
_space_group_IT_number 1
_cell_length_a 5.509
_cell_length_b 5.509
_cell_length_c 5.509
_cell_angle_alpha 131.77
_cell_angle_beta 131.77
_cell_angle_gamma 70.59
loop_
_space_group_symop_operation_xyz
'x,y,z'
loop_
_atom_site_label
_atom_site_type_symbol
_atom_site_fract_x
_atom_site_fract_y
_atom_site_fract_z
Al1 Al 0.000 0.000 0.000
As1 As 0.367 0.367 0.000
As2 As 0.633 0.633 0.000
Mo1 Mo 0.750 0.250 0.500
Mo2 Mo 0.250 0.750 0.500

No. 4
# Al2Mo2As PBE optimized geometry
# Total moment, μB per atom: 0.0010
# Crystal system: tetragonal
# E, eV per atom: -6.55
# Space-group type: No. 139
data_Al2Mo2As
_chemical_formula_sum 'Al2 Mo2 As1'
_space_group_name_H-M_alt 'P 1'
_space_group_IT_number 1
_cell_length_a 7.057
_cell_length_b 7.057
_cell_length_c 7.057
_cell_angle_alpha 151.34
_cell_angle_beta 151.34
_cell_angle_gamma 40.98
loop_
_space_group_symop_operation_xyz
'x,y,z'
loop_
_atom_site_label
_atom_site_type_symbol
_atom_site_fract_x
_atom_site_fract_y
_atom_site_fract_z
Al1 Al 0.750 0.250 0.500
Al2 Al 0.250 0.750 0.500
As1 As 0.000 0.000 0.000
Mo1 Mo 0.403 0.403 0.000
Mo2 Mo 0.597 0.597 0.000

No. 5
# AlMo2As2 PBE optimized geometry
# Total moment, μB per atom: 0.0005
# Crystal system: tetragonal
# E, eV per atom: -6.74
# Space-group type: No. 139
data_AlMo2As2
_chemical_formula_sum 'Al1 Mo2 As2'
_space_group_name_H-M_alt 'P 1'
_space_group_IT_number 1
_cell_length_a 6.851
_cell_length_b 6.851
_cell_length_c 6.851
_cell_angle_alpha 149.07
_cell_angle_beta 149.07
_cell_angle_gamma 44.31
loop_
_space_group_symop_operation_xyz
'x,y,z'
loop_
_atom_site_label
_atom_site_type_symbol
_atom_site_fract_x
_atom_site_fract_y
_atom_site_fract_z
Al1 Al 0.000 0.000 0.000
As1 As 0.750 0.250 0.500
As2 As 0.250 0.750 0.500
Mo1 Mo 0.393 0.393 0.000
Mo2 Mo 0.607 0.607 0.000

No. 6
# Al2MoAs PBE optimized geometry
# Total moment, μB per atom: 0.0122
# Crystal system: cubic
# E, eV per atom: -5.48
# Space-group type: No. 216
data_Al2MoAs
_chemical_formula_sum 'Al2 Mo1 As1'
_space_group_name_H-M_alt 'P 1'
_space_group_IT_number 1
_cell_length_a 4.491
_cell_length_b 4.491
_cell_length_c 4.491
_cell_angle_alpha 60.00
_cell_angle_beta 60.00
_cell_angle_gamma 60.00
loop_
_space_group_symop_operation_xyz
'x,y,z'
loop_
_atom_site_label
_atom_site_type_symbol
_atom_site_fract_x
_atom_site_fract_y
_atom_site_fract_z
Al1 Al 0.000 0.000 0.000
Al2 Al 0.250 0.250 0.250
As1 As 0.750 0.750 0.750
Mo1 Mo 0.500 0.500 0.500

No. 7
# Ta4AlAsN2 PBE optimized geometry
# Total moment, μB per atom: 0.0001
# Crystal system: hexagonal
# E, eV per atom: -9.62
# Space-group type: No. 187
data_Ta4AlAsN2
_chemical_formula_sum 'Ta4 Al1 As1 N2'
_space_group_name_H-M_alt 'P 1'
_space_group_IT_number 1
_cell_length_a 3.056
_cell_length_b 3.056
_cell_length_c 13.727
_cell_angle_alpha 90.00
_cell_angle_beta 90.00
_cell_angle_gamma 120.00
loop_
_space_group_symop_operation_xyz
'x,y,z'
loop_
_atom_site_label
_atom_site_type_symbol
_atom_site_fract_x
_atom_site_fract_y
_atom_site_fract_z
Al1 Al 0.000 0.000 0.000
As1 As 0.667 0.333 0.500
N1 N 0.333 0.667 0.257
N2 N 0.333 0.667 0.743
Ta1 Ta 0.667 0.333 0.160
Ta2 Ta 0.000 0.000 0.357
Ta3 Ta 0.000 0.000 0.643
Ta4 Ta 0.667 0.333 0.840

No. 8
# NbAlAsO PBE optimized geometry
# Total moment, μB per atom: 0.0912
# Crystal system: tetragonal
# E, eV per atom: -6.60
# Space-group type: No. 129
data_NbAlAsO
_chemical_formula_sum 'Nb2 Al2 As2 O2'
_space_group_name_H-M_alt 'P 1'
_space_group_IT_number 1
_cell_length_a 3.549
_cell_length_b 3.549
_cell_length_c 9.598
_cell_angle_alpha 90.00
_cell_angle_beta 90.00
_cell_angle_gamma 90.00
loop_
_space_group_symop_operation_xyz
'x,y,z'
loop_
_atom_site_label
_atom_site_type_symbol
_atom_site_fract_x
_atom_site_fract_y
_atom_site_fract_z
Al1 Al 0.750 0.250 0.500
Al2 Al 0.250 0.750 0.500
As1 As 0.750 0.750 0.264
As2 As 0.250 0.250 0.736
Nb1 Nb 0.250 0.250 0.134
Nb2 Nb 0.750 0.750 0.866
O1 O 0.750 0.250 0.000
O2 O 0.250 0.750 0.000

What is the formula in the second record? MgAlAsOs

What is the formula in the fifth record? AlMo2As2